NiBiPO5 after structural relaxation, computed with GGA+U.

```
NiBiPO5
1.0
-5.144 1.001 0.038
1.582 -3.052 -6.440
-1.962 -10.251 4.377
O Ni Bi P
20 4 4 4
Direct
0.953 0.661 0.081 O
0.106 0.834 0.418 O
0.988 0.117 0.327 O
0.512 0.383 0.827 O
0.894 0.166 0.582 O
0.257 0.015 0.975 O
0.547 0.839 0.581 O
0.488 0.617 0.173 O
0.606 0.334 0.082 O
0.243 0.485 0.475 O
0.453 0.161 0.419 O
0.809 0.487 0.278 O
0.757 0.515 0.525 O
0.743 0.985 0.025 O
0.047 0.339 0.919 O
0.394 0.666 0.918 O
0.012 0.883 0.673 O
0.691 0.013 0.778 O
0.191 0.513 0.722 O
0.309 0.987 0.222 O
0.131 0.685 0.579 Ni
0.869 0.315 0.421 Ni
0.631 0.185 0.921 Ni
0.369 0.815 0.079 Ni
0.615 0.690 0.398 Bi
0.885 0.810 0.898 Bi
0.385 0.310 0.602 Bi
0.115 0.190 0.102 Bi
0.783 0.975 0.652 P
0.717 0.525 0.152 P
0.217 0.025 0.348 P
0.283 0.475 0.848 P
```

Output
The calculation puts the volume at 12.91 A^3/atom. Its total DFT energy (no corrections) is -6.317 eV per atom. Its total moment is 7.9 Bohr magnetons per cell.